[1]
A relaxed structure of CaMg2PdI, computed with GGA-PBE.

The structure belongs to space group P4/mmm (No. 123); the cell edges are 5.0112, 5.0112 and 5.8994 Å and the angles 90.00°, 90.00° and 90.00°. The inequivalent atoms are Ca at (0.0000, 0.0000, 0.0000), Mg at (0.0000, 0.5000, 0.5000), Pd at (0.5000, 0.5000, 0.5000) and I at (0.5000, 0.5000, 0.0000).

Its uncorrected formation energy is -0.208 eV per atom. The uncorrected energy comes out at -0.0954 hartree per atom.

***

[2]
A relaxed structure of CaMgTeI2, computed with GGA-PBE.

The structure belongs to space group P4/mmm (No. 123); the cell edges are 5.5542, 5.5542 and 5.8492 Å and the angles 90.00°, 90.00° and 90.00°. The inequivalent atoms are Ca at (0.0000, 0.0000, 0.0000), Mg at (0.5000, 0.5000, 0.5000), Te at (0.5000, 0.5000, 0.0000) and I at (0.0000, 0.5000, 0.5000).

Its uncorrected formation energy is -0.799 eV per atom. The uncorrected energy comes out at -0.1017 hartree per atom.

***

[3]
A relaxed structure of CaMgTeI2, computed with GGA-PBE.

The structure belongs to space group P4/mmm (No. 123); the cell edges are 5.8828, 5.8828 and 6.2412 Å and the angles 90.00°, 90.00° and 90.00°. The inequivalent atoms are Ca at (0.0000, 0.0000, 0.0000), Mg at (0.5000, 0.5000, 0.5000), Te at (0.0000, 0.0000, 0.5000) and I at (0.0000, 0.5000, 0.0000).

Its uncorrected formation energy is -0.506 eV per atom. The uncorrected energy comes out at -0.0909 hartree per atom.

***

[4]
A relaxed structure of CaMgZnI2, computed with GGA-PBE.

The structure belongs to space group P4/mmm (No. 123); the cell edges are 6.0096, 6.0096 and 6.5879 Å and the angles 90.00°, 90.00° and 90.00°. The inequivalent atoms are Ca at (0.0000, 0.0000, 0.0000), Mg at (0.5000, 0.5000, 0.5000), Zn at (0.0000, 0.0000, 0.5000) and I at (0.0000, 0.5000, 0.0000).

Its uncorrected formation energy is -0.350 eV per atom. The uncorrected energy comes out at -0.0714 hartree per atom.

***

[5]
A relaxed structure of CaMnI2, computed with GGA-PBE.

The structure belongs to space group Fm-3m (No. 225); the cell edges are 7.8045, 7.8045 and 7.8045 Å and the angles 90.00°, 90.00° and 90.00°. The inequivalent atoms are Ca at (0.0000, 0.0000, 0.0000), Mn at (0.0000, 0.0000, 0.5000) and I at (0.2500, 0.2500, 0.2500).

Its uncorrected formation energy is -0.266 eV per atom. The uncorrected energy comes out at -0.1409 hartree per atom.

***

[6]
A relaxed structure of CaMnI2, computed with GGA-PBE.

The structure belongs to space group I-42d (No. 122); the cell edges are 6.4091, 6.4091 and 14.1667 Å and the angles 90.00°, 90.00° and 90.00°. The inequivalent atoms are Ca at (0.0000, 0.0000, 0.0000), Mn at (0.0000, 0.0000, 0.5000) and I at (0.1943, 0.2500, 0.6250).

Its uncorrected formation energy is -0.193 eV per atom. The uncorrected energy comes out at -0.1382 hartree per atom.

***

[7]
A relaxed structure of CaMnI6, computed with GGA-PBE.

The structure belongs to space group C2/m (No. 12); the cell edges are 7.6449, 13.3211 and 7.4935 Å and the angles 90.00°, 111.88° and 90.00°. The inequivalent atoms are Ca at (0.0000, 0.0000, 0.0000), Mn at (0.0000, 0.5000, 0.5000), I at (0.1861, 0.3547, 0.7444) and I at (0.1926, 0.0000, 0.6901).

Its uncorrected formation energy is -0.665 eV per atom. The uncorrected energy comes out at -0.1185 hartree per atom.

***

[8]
A relaxed structure of Ca3MnI8, computed with GGA-PBE.

The structure belongs to space group C2/m (No. 12); the cell edges are 15.4098, 8.8986 and 9.3201 Å and the angles 90.00°, 123.98° and 90.00°. The inequivalent atoms are Ca at (0.0000, 0.0000, 0.0000), Ca at (0.2500, 0.2500, 0.0000), Mn at (0.0000, 0.5000, 0.0000), I at (0.0033, 0.2653, 0.7783), I at (0.2313, 0.5000, 0.2215) and I at (0.2453, 0.0000, 0.2328).

Its uncorrected formation energy is -1.316 eV per atom. The uncorrected energy comes out at -0.1328 hartree per atom.

***

[9]
A relaxed structure of CaMn5I12, computed with GGA-PBE.

The structure belongs to space group C2/m (No. 12); the cell edges are 7.3026, 12.6546 and 15.4762 Å and the angles 90.00°, 90.14° and 90.00°. The inequivalent atoms are Ca at (0.0000, 0.0000, 0.0000), Mn at (0.0000, 0.1669, 0.5000), Mn at (0.0000, 0.3333, 0.0000), Mn at (0.0000, 0.5000, 0.5000), I at (0.1452, 0.5000, 0.1111), I at (0.1660, 0.0000, 0.3947), I at (0.1661, 0.3334, 0.3946) and I at (0.1782, 0.1776, 0.1110).

Its uncorrected formation energy is -0.624 eV per atom. The uncorrected energy comes out at -0.1586 hartree per atom.

***

[10]
A relaxed structure of CaMnIN2, computed with GGA-PBE.

The structure belongs to space group P4/mmm (No. 123); the cell edges are 3.9308, 3.9308 and 5.2961 Å and the angles 90.00°, 90.00° and 90.00°. The inequivalent atoms are Ca at (0.0000, 0.0000, 0.0000), Mn at (0.5000, 0.5000, 0.5000), I at (0.5000, 0.5000, 0.0000) and N at (0.0000, 0.5000, 0.5000).

Its uncorrected formation energy is 0.353 eV per atom. The uncorrected energy comes out at -0.2029 hartree per atom.

***

[11]
A relaxed structure of CaMnIN2, computed with GGA-PBE.

The structure belongs to space group P4/mmm (No. 123); the cell edges are 4.5010, 4.5010 and 6.2316 Å and the angles 90.00°, 90.00° and 90.00°. The inequivalent atoms are Ca at (0.0000, 0.0000, 0.0000), Mn at (0.5000, 0.5000, 0.5000), I at (0.0000, 0.0000, 0.5000) and N at (0.0000, 0.5000, 0.0000).

Its uncorrected formation energy is 1.861 eV per atom. The uncorrected energy comes out at -0.1475 hartree per atom.

***

[12]
A relaxed structure of NaCa2MnI8, computed with GGA-PBE.

The structure belongs to space group P2/m (No. 10); the cell edges are 7.0070, 8.9873 and 7.6892 Å and the angles 90.00°, 92.57° and 90.00°. The inequivalent atoms are Na at (0.0000, 0.0000, 0.0000), Ca at (0.5000, 0.2600, 0.5000), Mn at (0.0000, 0.5000, 0.0000), I at (0.2293, 0.2865, 0.1401), I at (0.2448, 0.5000, 0.6620) and I at (0.2938, 0.0000, 0.6812).

Its uncorrected formation energy is -1.059 eV per atom. The uncorrected energy comes out at -0.1213 hartree per atom.